No. 1
# AcYTl4

A geometry-optimized AcYTl4 structure (GGA-PBE, the Alexandria database).

Geometry as CIF:
```
data_AcYTl4
_space_group_name_H-M_alt 'P 1'
_space_group_IT_number 1
_space_group_name_Hall 'P 1'
_cell_length_a 5.058
_cell_length_b 5.058
_cell_length_c 8.362
_cell_angle_alpha 90.08
_cell_angle_beta 90.08
_cell_angle_gamma 89.97
loop_
_atom_site_label
_atom_site_fract_x
_atom_site_fract_y
_atom_site_fract_z
Ac1 0.000 0.000 0.000
Y1 0.500 0.500 0.500
Tl1 0.001 0.500 0.719
Tl2 0.500 0.001 0.719
Tl3 0.500 0.999 0.281
Tl4 0.999 0.500 0.281
```

Summary:
spin magnetization	0.00	μB/f.u.
relative energy among the computed polymorphs	0.58	eV per formula unit
space group	C2/m (12)

No. 2
# Ac3YTl4

A geometry-optimized Ac3YTl4 structure (GGA-PBE, the Alexandria database).

Geometry as CIF:
```
data_Ac3YTl4
_space_group_name_H-M_alt 'P 1'
_space_group_IT_number 1
_space_group_name_Hall 'P 1'
_cell_length_a 3.968
_cell_length_b 3.968
_cell_length_c 16.863
_cell_angle_alpha 90.00
_cell_angle_beta 90.00
_cell_angle_gamma 90.00
loop_
_atom_site_label
_atom_site_fract_x
_atom_site_fract_y
_atom_site_fract_z
Ac1 0.000 0.000 0.000
Ac2 0.000 0.000 0.263
Ac3 0.000 0.000 0.737
Y1 0.000 0.000 0.500
Tl1 0.500 0.500 0.133
Tl2 0.500 0.500 0.396
Tl3 0.500 0.500 0.604
Tl4 0.500 0.500 0.867
```

Summary:
spin magnetization	0.00	μB/f.u.
raw total energy	-3.8872	eV per atom
space group	P4/mmm (123)

No. 3
# AcYTl4

A geometry-optimized AcYTl4 structure (GGA-PBE, the Alexandria database).

Geometry as CIF:
```
data_AcYTl4
_space_group_name_H-M_alt 'P 1'
_space_group_IT_number 1
_space_group_name_Hall 'P 1'
_cell_length_a 6.357
_cell_length_b 6.357
_cell_length_c 6.357
_cell_angle_alpha 60.00
_cell_angle_beta 60.00
_cell_angle_gamma 60.00
loop_
_atom_site_label
_atom_site_fract_x
_atom_site_fract_y
_atom_site_fract_z
Ac1 0.000 0.000 0.000
Y1 0.750 0.750 0.750
Tl1 0.375 0.375 0.375
Tl2 0.375 0.375 0.874
Tl3 0.375 0.874 0.375
Tl4 0.874 0.375 0.375
```

Summary:
spin magnetization	0.00	μB/f.u.
relative energy among the computed polymorphs	0.00	eV per formula unit
space group	F-43m (216)